Entry 1:
# PBE CaGa11Ir, optimized geometry
# Space-group type: C2/m (12)
# E_tot, eV/cell: -46.21
# Theoretical density, g/cm3: 6.82
data_CaGa11Ir
_chemical_formula_sum 'Ca1 Ga11 Ir1'
_cell_length_a 6.7916
_cell_length_b 6.7916
_cell_length_c 7.8756
_cell_angle_alpha 96.70
_cell_angle_beta 96.70
_cell_angle_gamma 135.26
_symmetry_space_group_name_H-M 'P 1'
_symmetry_Int_Tables_number 1
loop_
_symmetry_equiv_pos_as_xyz
'x,y,z'
loop_
_atom_site_label
_atom_site_type_symbol
_atom_site_fract_x
_atom_site_fract_y
_atom_site_fract_z
Ca1 Ca 0.0000 0.0000 0.0000
Ga1 Ga 0.0000 0.0000 0.5000
Ga2 Ga 0.0000 0.5000 0.0000
Ga3 Ga 0.0234 0.3735 0.3665
Ga4 Ga 0.2768 0.4917 0.7726
Ga5 Ga 0.3735 0.0234 0.3665
Ga6 Ga 0.4917 0.2768 0.7726
Ga7 Ga 0.5000 0.0000 0.0000
Ga8 Ga 0.5083 0.7232 0.2274
Ga9 Ga 0.6265 0.9766 0.6335
Ga10 Ga 0.7232 0.5083 0.2274
Ga11 Ga 0.9766 0.6265 0.6335
Ir1 Ir 0.5000 0.5000 0.5000

Entry 2:
# PBE CaGa2Ir2, optimized geometry
# Space-group type: P4/mbm (127)
# E_tot, eV/cell: -56.44
# Theoretical density, g/cm3: 11.18
data_CaGa2Ir2
_chemical_formula_sum 'Ca2 Ga4 Ir4'
_cell_length_a 7.5477
_cell_length_b 7.5477
_cell_length_c 2.9410
_cell_angle_alpha 90.00
_cell_angle_beta 90.00
_cell_angle_gamma 90.00
_symmetry_space_group_name_H-M 'P 1'
_symmetry_Int_Tables_number 1
loop_
_symmetry_equiv_pos_as_xyz
'x,y,z'
loop_
_atom_site_label
_atom_site_type_symbol
_atom_site_fract_x
_atom_site_fract_y
_atom_site_fract_z
Ca1 Ca 0.0000 0.0000 0.0000
Ca2 Ca 0.5000 0.5000 0.0000
Ga1 Ga 0.1501 0.3499 0.5000
Ga2 Ga 0.3499 0.8499 0.5000
Ga3 Ga 0.6501 0.1501 0.5000
Ga4 Ga 0.8499 0.6501 0.5000
Ir1 Ir 0.1443 0.6443 0.0000
Ir2 Ir 0.3557 0.1443 0.0000
Ir3 Ir 0.6443 0.8557 0.0000
Ir4 Ir 0.8557 0.3557 0.0000

Entry 3:
# PBE Ca2GaIr, optimized geometry
# Space-group type: Cm (8)
# E_tot, eV/cell: -17.78
# Theoretical density, g/cm3: 4.95
data_Ca2GaIr
_chemical_formula_sum 'Ca2 Ga1 Ir1'
_cell_length_a 4.3033
_cell_length_b 4.3033
_cell_length_c 7.5618
_cell_angle_alpha 106.48
_cell_angle_beta 106.48
_cell_angle_gamma 60.21
_symmetry_space_group_name_H-M 'P 1'
_symmetry_Int_Tables_number 1
loop_
_symmetry_equiv_pos_as_xyz
'x,y,z'
loop_
_atom_site_label
_atom_site_type_symbol
_atom_site_fract_x
_atom_site_fract_y
_atom_site_fract_z
Ca1 Ca 0.0000 0.0000 0.0000
Ca2 Ca 0.1726 0.1726 0.5169
Ga1 Ga 0.7529 0.7529 0.2590
Ir1 Ir 0.4184 0.4184 0.2571

Entry 4:
# PBE Ca3Ga7Ir4, optimized geometry
# Space-group type: C2/m (12)
# E_tot, eV/cell: -70.20
# Theoretical density, g/cm3: 8.70
data_Ca3Ga7Ir4
_chemical_formula_sum 'Ca3 Ga7 Ir4'
_cell_length_a 8.2294
_cell_length_b 8.2294
_cell_length_c 9.3491
_cell_angle_alpha 123.07
_cell_angle_beta 123.07
_cell_angle_gamma 30.23
_symmetry_space_group_name_H-M 'P 1'
_symmetry_Int_Tables_number 1
loop_
_symmetry_equiv_pos_as_xyz
'x,y,z'
loop_
_atom_site_label
_atom_site_type_symbol
_atom_site_fract_x
_atom_site_fract_y
_atom_site_fract_z
Ca1 Ca 0.0000 0.0000 0.0000
Ca2 Ca 0.3066 0.3066 0.2985
Ca3 Ca 0.6934 0.6934 0.7015
Ga1 Ga 0.0000 0.0000 0.5000
Ga2 Ga 0.1632 0.1632 0.4266
Ga3 Ga 0.3140 0.3140 0.9655
Ga4 Ga 0.4989 0.4989 0.2759
Ga5 Ga 0.5011 0.5011 0.7241
Ga6 Ga 0.6860 0.6860 0.0345
Ga7 Ga 0.8368 0.8368 0.5734
Ir1 Ir 0.1143 0.1143 0.8272
Ir2 Ir 0.3407 0.3407 0.7162
Ir3 Ir 0.6593 0.6593 0.2838
Ir4 Ir 0.8857 0.8857 0.1728

Computed E_form (eV/atom) in order:
-0.16, -0.49, -0.47, -0.54